# Ho2ErZn4 (PBE, optimized geometry)
data_Ho2ErZn4
_cell_length_a 5.1022
_cell_length_b 5.1022
_cell_length_c 12.4211
_cell_angle_alpha 90.00
_cell_angle_beta 90.00
_cell_angle_gamma 90.00
_symmetry_space_group_name_H-M 'I 4/m m m'
_symmetry_Int_Tables_number 139
_symmetry_space_group_name_Hall '-I 4 2'
loop_
_atom_site_label
_atom_site_fract_x
_atom_site_fract_y
_atom_site_fract_z
Ho1 0.0000 0.0000 0.2265
Er1 0.0000 0.0000 0.5000
Zn1 0.0000 0.5000 0.1102
# ΔE_f = -15.4 kJ/mol of atoms
# E_tot = -39.9 eV/cell

=====

# Ho4ErZn5 (PBE, optimized geometry)
data_Ho4ErZn5
_cell_length_a 3.5489
_cell_length_b 3.5489
_cell_length_c 17.7543
_cell_angle_alpha 90.00
_cell_angle_beta 90.00
_cell_angle_gamma 90.00
_symmetry_space_group_name_H-M 'P 4/m m m'
_symmetry_Int_Tables_number 123
_symmetry_space_group_name_Hall '-P 4 2'
loop_
_atom_site_label
_atom_site_fract_x
_atom_site_fract_y
_atom_site_fract_z
Ho1 0.0000 0.0000 0.1001
Ho2 0.0000 0.0000 0.3003
Er1 0.0000 0.0000 0.5000
Zn1 0.5000 0.5000 0.0000
Zn2 0.5000 0.5000 0.2001
Zn3 0.5000 0.5000 0.4010
# ΔE_f = -33.2 kJ/mol of atoms
# E_tot = -32.7 eV/cell

=====

# Ho4ErZn (PBE, optimized geometry)
data_Ho4ErZn
_cell_length_a 8.7180
_cell_length_b 13.4481
_cell_length_c 6.1735
_cell_angle_alpha 90.00
_cell_angle_beta 108.59
_cell_angle_gamma 90.00
_symmetry_space_group_name_H-M 'C 1 2/c 1'
_symmetry_Int_Tables_number 15
loop_
_symmetry_equiv_pos_as_xyz
'x,y,z'
'-x,-y,-z'
'-x,y,-z+1/2'
'x,-y,z+1/2'
'x+1/2,y+1/2,z'
'-x+1/2,-y+1/2,-z'
'-x+1/2,y+1/2,-z+1/2'
'x+1/2,-y+1/2,z+1/2'
loop_
_atom_site_label
_atom_site_fract_x
_atom_site_fract_y
_atom_site_fract_z
Ho1 0.1028 0.1832 0.0476
Ho2 0.2229 0.3859 0.3760
Er1 0.0000 0.4054 0.7500
Zn1 0.0000 0.0000 0.2500
# ΔE_f = 0.4 kJ/mol of atoms
# energy above the most stable polymorph in this dataset = 104 meV per atom
# E_tot = -96.5 eV/cell

=====

# Ho2ErZn (PBE, optimized geometry)
data_Ho2ErZn
_cell_length_a 3.5302
_cell_length_b 3.5302
_cell_length_c 30.7686
_cell_angle_alpha 90.00
_cell_angle_beta 90.00
_cell_angle_gamma 120.00
_symmetry_space_group_name_H-M 'R -3 m'
_symmetry_Int_Tables_number 166
_symmetry_space_group_name_Hall '-R 3 2"'
loop_
_atom_site_label
_atom_site_fract_x
_atom_site_fract_y
_atom_site_fract_z
Ho1 0.0000 0.0000 0.2398
Er1 0.0000 0.0000 0.0000
Zn1 0.0000 0.0000 0.5000
# ΔE_f = -5.7 kJ/mol of atoms
# energy above the most stable polymorph in this dataset = 101 meV per atom
# E_tot = -45.7 eV/cell

=====

# HoEr3Zn (PBE, optimized geometry)
data_HoEr3Zn
_cell_length_a 12.8833
_cell_length_b 3.5867
_cell_length_c 12.1652
_cell_angle_alpha 90.00
_cell_angle_beta 94.47
_cell_angle_gamma 90.00
_symmetry_space_group_name_H-M 'C 1 2/m 1'
_symmetry_Int_Tables_number 12
loop_
_symmetry_equiv_pos_as_xyz
'x,y,z'
'-x,-y,-z'
'-x,y,-z'
'x,-y,z'
'x+1/2,y+1/2,z'
'-x+1/2,-y+1/2,-z'
'-x+1/2,y+1/2,-z'
'x+1/2,-y+1/2,z'
loop_
_atom_site_label
_atom_site_fract_x
_atom_site_fract_y
_atom_site_fract_z
Ho1 0.1677 0.0000 0.4065
Er1 0.0373 0.0000 0.1510
Er2 0.0668 0.5000 0.6316
Er3 0.2297 0.0000 0.8193
Zn1 0.1212 0.5000 0.9752
# ΔE_f = -7.8 kJ/mol of atoms
# energy above the most stable polymorph in this dataset = 0 meV per atom
# E_tot = -79.8 eV/cell

=====

# Ho2Er3Zn2 (PBE, optimized geometry)
data_Ho2Er3Zn2
_cell_length_a 3.4956
_cell_length_b 30.3622
_cell_length_c 3.4829
_cell_angle_alpha 90.00
_cell_angle_beta 90.00
_cell_angle_gamma 90.00
_symmetry_space_group_name_H-M 'C m m m'
_symmetry_Int_Tables_number 65
_symmetry_space_group_name_Hall '-C 2 2'
loop_
_atom_site_label
_atom_site_fract_x
_atom_site_fract_y
_atom_site_fract_z
Ho1 0.0000 0.2008 0.0000
Er1 0.0000 0.3819 0.5000
Er2 0.0000 0.5000 0.5000
Zn1 0.0000 0.0579 0.0000
# ΔE_f = -11.8 kJ/mol of atoms
# energy above the most stable polymorph in this dataset = 12 meV per atom
# E_tot = -52.5 eV/cell

=====

# Ho5ErZn6 (PBE, optimized geometry)
data_Ho5ErZn6
_cell_length_a 5.0142
_cell_length_b 15.0556
_cell_length_c 7.1193
_cell_angle_alpha 90.00
_cell_angle_beta 90.00
_cell_angle_gamma 90.00
_symmetry_space_group_name_H-M 'C m m m'
_symmetry_Int_Tables_number 65
_symmetry_space_group_name_Hall '-C 2 2'
loop_
_atom_site_label
_atom_site_fract_x
_atom_site_fract_y
_atom_site_fract_z
Ho1 0.0000 0.0000 0.0000
Ho2 0.0000 0.3331 0.0000
Ho3 0.0000 0.3335 0.5000
Er1 0.0000 0.0000 0.5000
Zn1 0.0000 0.1663 0.2506
Zn2 0.0000 0.5000 0.2508
# ΔE_f = -33.3 kJ/mol of atoms
# E_tot = -78.5 eV/cell

=====

# HoErZn (PBE, optimized geometry)
data_HoErZn
_cell_length_a 9.7885
_cell_length_b 4.8954
_cell_length_c 6.9832
_cell_angle_alpha 90.00
_cell_angle_beta 90.00
_cell_angle_gamma 90.00
_symmetry_space_group_name_H-M 'P n m a'
_symmetry_Int_Tables_number 62
loop_
_symmetry_equiv_pos_as_xyz
'x,y,z'
'-x,-y,-z'
'-x+1/2,-y,z+1/2'
'x+1/2,y,-z+1/2'
'x+1/2,-y+1/2,-z+1/2'
'-x+1/2,y+1/2,z+1/2'
'-x,y+1/2,-z'
'x,-y+1/2,z'
loop_
_atom_site_label
_atom_site_fract_x
_atom_site_fract_y
_atom_site_fract_z
Ho1 0.1262 0.2500 0.9997
Er1 0.1238 0.2500 0.4996
Zn1 0.1250 0.7500 0.2498
# ΔE_f = 1.6 kJ/mol of atoms
# energy above the most stable polymorph in this dataset = 230 meV per atom
# E_tot = -41.5 eV/cell

=====

# HoEr3Zn4 (PBE, optimized geometry)
data_HoEr3Zn4
_cell_length_a 4.9960
_cell_length_b 4.9960
_cell_length_c 7.1172
_cell_angle_alpha 90.00
_cell_angle_beta 90.00
_cell_angle_gamma 90.00
_symmetry_space_group_name_H-M 'P 4/m m m'
_symmetry_Int_Tables_number 123
_symmetry_space_group_name_Hall '-P 4 2'
loop_
_atom_site_label
_atom_site_fract_x
_atom_site_fract_y
_atom_site_fract_z
Ho1 0.0000 0.0000 0.0000
Er1 0.0000 0.0000 0.5000
Er2 0.5000 0.5000 0.0000
Er3 0.5000 0.5000 0.5000
Zn1 0.0000 0.5000 0.2511
# ΔE_f = -33.6 kJ/mol of atoms
# E_tot = -26.2 eV/cell

=====

# HoErZn2 (PBE, optimized geometry)
data_HoErZn2
_cell_length_a 3.5670
_cell_length_b 3.5670
_cell_length_c 26.7147
_cell_angle_alpha 90.00
_cell_angle_beta 90.00
_cell_angle_gamma 120.00
_symmetry_space_group_name_H-M 'R -3 m'
_symmetry_Int_Tables_number 166
_symmetry_space_group_name_Hall '-R 3 2"'
loop_
_atom_site_label
_atom_site_fract_x
_atom_site_fract_y
_atom_site_fract_z
Ho1 0.0000 0.0000 0.0000
Er1 0.0000 0.0000 0.5000
Zn1 0.0000 0.0000 0.2497
# ΔE_f = -13.0 kJ/mol of atoms
# energy above the most stable polymorph in this dataset = 217 meV per atom
# E_tot = -36.7 eV/cell

=====

# Ho6ErZn2 (PBE, optimized geometry)
data_Ho6ErZn2
_cell_length_a 4.7979
_cell_length_b 4.7979
_cell_length_c 24.6593
_cell_angle_alpha 90.00
_cell_angle_beta 90.00
_cell_angle_gamma 90.00
_symmetry_space_group_name_H-M 'I 4/m m m'
_symmetry_Int_Tables_number 139
_symmetry_space_group_name_Hall '-I 4 2'
loop_
_atom_site_label
_atom_site_fract_x
_atom_site_fract_y
_atom_site_fract_z
Ho1 0.0000 0.5000 0.1069
Ho2 0.0000 0.5000 0.2500
Er1 0.0000 0.0000 0.0000
Zn1 0.0000 0.0000 0.3227
# ΔE_f = 25.3 kJ/mol of atoms
# energy above the most stable polymorph in this dataset = 407 meV per atom
# E_tot = -64.4 eV/cell

=====

# Ho6ErZn (PBE, optimized geometry)
data_Ho6ErZn
_cell_length_a 9.1814
_cell_length_b 9.1814
_cell_length_c 9.6985
_cell_angle_alpha 90.00
_cell_angle_beta 90.00
_cell_angle_gamma 120.00
_symmetry_space_group_name_H-M 'R -3'
_symmetry_Int_Tables_number 148
_symmetry_space_group_name_Hall '-R 3'
loop_
_atom_site_label
_atom_site_fract_x
_atom_site_fract_y
_atom_site_fract_z
Ho1 0.0307 0.2497 0.2064
Er1 0.0000 0.0000 0.5000
Zn1 0.0000 0.0000 0.0000
# ΔE_f = 4.6 kJ/mol of atoms
# E_tot = -98.8 eV/cell